1.
! Rb3ScTe3 (GGA-PBE, optimized geometry); values from VASP
&SYSTEM
  ibrav = 0, nat = 14, ntyp = 3
/
ATOMIC_SPECIES
Rb 85.47 Rb.upf
Sc 44.96 Sc.upf
Te 127.60 Te.upf
ATOMIC_POSITIONS angstrom
Rb 4.9813 4.9285 0.0000
Rb 4.0929 3.8570 4.3438
Rb 3.6467 0.0000 1.2161
Rb 4.5391 0.0000 7.4715
Rb 4.0929 -3.8570 4.3438
Rb 4.9813 -4.9285 0.0000
Sc 0.5529 0.0000 5.6107
Sc 7.6329 0.0000 3.0770
Te 0.4835 0.0000 2.7650
Te 1.6277 2.2574 6.7474
Te 1.6277 -2.2574 6.7474
Te 6.5580 2.2574 1.9403
Te 6.5580 -2.2574 1.9403
Te 7.7023 0.0000 5.9227
CELL_PARAMETERS angstrom
4.9813 -7.5950 0.0000
4.9813 7.5950 0.0000
-1.7767 0.0000 8.6877
! Fermi-level density of states, states/eV/atom: 0.000
! Crystal system: monoclinic



2.
! Rb3Th2ScTe6 (GGA-PBE, optimized geometry); values from VASP
&SYSTEM
  ibrav = 0, nat = 12, ntyp = 4
/
ATOMIC_SPECIES
Rb 85.47 Rb.upf
Th 232.04 Th.upf
Sc 44.96 Sc.upf
Te 127.60 Te.upf
ATOMIC_POSITIONS angstrom
Rb 0.0000 0.0000 0.0000
Rb 3.8664 2.2970 0.0000
Rb 3.8664 -2.2970 0.0000
Th 2.5744 4.4747 4.3460
Th 2.5744 -4.4747 4.3460
Sc 2.5744 0.0000 4.3460
Te 1.3453 2.1357 2.5823
Te 0.1133 0.0000 6.1280
Te 1.3453 -2.1357 2.5823
Te 3.8035 2.1357 6.1097
Te 5.0355 0.0000 2.5641
Te 3.8035 -2.1357 6.1097
CELL_PARAMETERS angstrom
3.8664 -6.6965 0.0000
3.8664 6.6965 0.0000
-2.5840 0.0000 8.6920
! Fermi-level density of states, states/eV/atom: 0.636
! Crystal system: monoclinic



3.
! Rb4ThSc3Te8 (GGA-PBE, optimized geometry); values from VASP
&SYSTEM
  ibrav = 0, nat = 16, ntyp = 4
/
ATOMIC_SPECIES
Rb 85.47 Rb.upf
Th 232.04 Th.upf
Sc 44.96 Sc.upf
Te 127.60 Te.upf
ATOMIC_POSITIONS angstrom
Rb 0.0000 0.0000 0.0000
Rb -2.1986 -1.2693 8.5627
Rb -2.1986 1.2693 17.1255
Rb 0.0000 2.5387 8.5627
Th 0.0000 0.0000 12.8441
Sc -4.3971 0.0000 12.8441
Sc -2.1986 1.2693 4.2814
Sc 2.1986 1.2693 4.2814
Te -2.2884 -1.3212 14.5315
Te 0.0000 0.0000 5.8916
Te 0.0000 -2.6424 11.1567
Te -2.2884 1.3212 11.1567
Te 2.2884 -1.3212 14.5315
Te 0.0000 2.6424 14.5315
Te 0.0000 0.0000 19.7966
Te 2.2884 1.3212 11.1567
CELL_PARAMETERS angstrom
4.3971 2.5387 8.5627
-4.3971 2.5387 8.5627
0.0000 -5.0774 8.5627
! Fermi-level density of states, states/eV/atom: 0.371
! Crystal system: trigonal



4.
! Rb2ThScTe4 (GGA-PBE, optimized geometry); values from VASP
&SYSTEM
  ibrav = 0, nat = 8, ntyp = 4
/
ATOMIC_SPECIES
Rb 85.47 Rb.upf
Th 232.04 Th.upf
Sc 44.96 Sc.upf
Te 127.60 Te.upf
ATOMIC_POSITIONS angstrom
Rb 0.0000 0.0000 0.0000
Rb 3.8463 2.2211 0.0000
Th -1.2748 2.2211 4.3228
Sc 2.5715 0.0000 4.3228
Te 0.1209 0.0000 6.0958
Te 1.3876 2.2211 2.6374
Te 3.7554 2.2211 6.0082
Te 5.0220 0.0000 2.5498
CELL_PARAMETERS angstrom
7.6926 0.0000 0.0000
0.0000 4.4422 0.0000
-2.5497 0.0000 8.6456
! Fermi-level density of states, states/eV/atom: 0.578
! Crystal system: monoclinic



5.
! Rb2Th2ScTe6 (GGA-PBE, optimized geometry); values from VASP
&SYSTEM
  ibrav = 0, nat = 11, ntyp = 4
/
ATOMIC_SPECIES
Rb 85.47 Rb.upf
Th 232.04 Th.upf
Sc 44.96 Sc.upf
Te 127.60 Te.upf
ATOMIC_POSITIONS angstrom
Rb 3.8305 4.3411 0.0000
Rb 3.8305 -4.3411 0.0000
Th 2.5045 2.2110 4.4329
Th 2.5045 -2.2110 4.4329
Sc -1.3260 0.0000 4.4329
Te -0.0923 2.0799 6.2146
Te 1.1136 0.0000 2.6685
Te -0.0923 -2.0799 6.2146
Te 5.1014 2.0799 2.6513
Te 3.8954 0.0000 6.1974
Te 5.1014 -2.0799 2.6513
CELL_PARAMETERS angstrom
3.8305 -6.5996 0.0000
3.8305 6.5996 0.0000
-2.6520 0.0000 8.8659
! Fermi-level density of states, states/eV/atom: 0.507
! Crystal system: monoclinic



6.
! Rb3ThSc3Te8 (GGA-PBE, optimized geometry); values from VASP
&SYSTEM
  ibrav = 0, nat = 15, ntyp = 4
/
ATOMIC_SPECIES
Rb 85.47 Rb.upf
Th 232.04 Th.upf
Sc 44.96 Sc.upf
Te 127.60 Te.upf
ATOMIC_POSITIONS angstrom
Rb -2.1702 -1.2529 8.6345
Rb -2.1702 1.2529 17.2691
Rb 0.0000 2.5059 8.6345
Th 0.0000 0.0000 12.9518
Sc -4.3403 0.0000 12.9518
Sc -2.1702 1.2529 4.3173
Sc 2.1702 1.2529 4.3173
Te -2.2895 -1.3219 14.6462
Te 0.0000 0.0000 5.9368
Te 0.0000 -2.6437 11.2574
Te -2.2895 1.3219 11.2574
Te 2.2895 -1.3219 14.6462
Te 0.0000 2.6437 14.6462
Te 0.0000 0.0000 19.9668
Te 2.2895 1.3219 11.2574
CELL_PARAMETERS angstrom
4.3403 2.5059 8.6345
-4.3403 2.5059 8.6345
0.0000 -5.0118 8.6345
! Crystal system: trigonal



7.
! Rb4Sc3TiTe8 (GGA-PBE, optimized geometry); values from VASP
&SYSTEM
  ibrav = 0, nat = 16, ntyp = 4
/
ATOMIC_SPECIES
Rb 85.47 Rb.upf
Sc 44.96 Sc.upf
Ti 47.87 Ti.upf
Te 127.60 Te.upf
ATOMIC_POSITIONS angstrom
Rb 0.0000 0.0000 0.0000
Rb -2.1516 -1.2422 8.4815
Rb -2.1515 1.2422 16.9631
Rb 0.0000 2.4844 8.4815
Sc -4.3031 0.0000 12.7223
Sc -2.1515 1.2422 4.2408
Sc 2.1516 1.2422 4.2408
Ti 0.0000 0.0000 12.7223
Te 0.0000 0.0000 5.8562
Te -2.1045 -1.2150 14.3102
Te 0.0000 -2.4300 11.1345
Te -2.1045 1.2150 11.1345
Te 2.1045 -1.2150 14.3101
Te 0.0000 2.4300 14.3101
Te 2.1045 1.2150 11.1345
Te 0.0000 0.0000 19.5885
CELL_PARAMETERS angstrom
4.3031 2.4844 8.4815
-4.3031 2.4844 8.4815
0.0000 -4.9688 8.4815
! Fermi-level density of states, states/eV/atom: 0.345
! Crystal system: trigonal



8.
! Rb3Sc3TiTe8 (GGA-PBE, optimized geometry); values from VASP
&SYSTEM
  ibrav = 0, nat = 15, ntyp = 4
/
ATOMIC_SPECIES
Rb 85.47 Rb.upf
Sc 44.96 Sc.upf
Ti 47.87 Ti.upf
Te 127.60 Te.upf
ATOMIC_POSITIONS angstrom
Rb -2.0997 -1.2123 8.7489
Rb -2.0997 1.2123 17.4978
Rb 0.0000 2.4245 8.7489
Sc -4.1994 0.0000 13.1233
Sc -2.0997 1.2123 4.3744
Sc 2.0997 1.2123 4.3745
Ti 0.0000 0.0000 13.1234
Te 0.0000 0.0000 6.0407
Te -2.0368 -1.1759 14.7397
Te 0.0000 -2.3518 11.5070
Te -2.0367 1.1759 11.5070
Te 2.0368 -1.1759 14.7398
Te 0.0000 2.3518 14.7398
Te 2.0367 1.1759 11.5069
Te 0.0000 0.0000 20.2060
CELL_PARAMETERS angstrom
4.1994 2.4245 8.7489
-4.1994 2.4245 8.7489
0.0000 -4.8491 8.7489
! Fermi-level density of states, states/eV/atom: 0.117
! Crystal system: trigonal



M_tot readings, ordered: 0.00; 0.00; 0.00; 0.00; 0.00; 0.00; 1.01; 0.10 μB/f.u.
Formation energy (no corrections) readings, ordered: -1.15; -1.18; -1.22; -1.19; -1.22; -1.24; -1.12; -1.11 eV per atom